1.
SmH8C6O10: optimized geometry, GGA-PBE.

a = 8.0888 Å, b = 8.3243 Å, c = 8.9071 Å
α = 95.49°, β = 115.34°, γ = 110.53°
Space group P-1 (No. 2)
Unique sites:
Sm 0.0879 0.0241 0.2743 x2
H 0.0456 0.6724 0.7003 x2
H 0.0989 0.7972 0.5821 x2
H 0.1509 0.7156 0.3983 x2
H 0.2005 0.3071 0.1137 x2
H 0.2370 0.4464 0.5173 x2
H 0.3555 0.8862 0.5520 x2
H 0.3732 0.5916 0.4710 x2
H 0.4087 0.3669 0.2961 x2
C 0.1277 0.4431 0.8780 x2
C 0.3157 0.5787 0.0196 x2
C 0.3339 0.0004 0.1175 x2
C 0.3525 0.2153 0.6819 x2
C 0.4572 0.0016 0.0412 x2
C 0.4711 0.6757 0.1532 x2
O 0.0121 0.7597 0.6378 x2
O 0.0260 0.4812 0.7459 x2
O 0.0774 0.2876 0.9009 x2
O 0.1530 0.9763 0.0161 x2
O 0.1843 0.1302 0.6750 x2
O 0.2091 0.8441 0.4658 x2
O 0.2563 0.3093 0.2378 x2
O 0.3481 0.5690 0.5671 x2
O 0.3809 0.2151 0.5522 x2
O 0.4011 0.0226 0.2790 x2

For the total energy, the calculation gives -0.4782 Ry/atom. As for the crystal system: triclinic.

2.
SrTaN3: optimized geometry, GGA-PBE.

a = 4.3594 Å, b = 12.5967 Å, c = 5.9251 Å
α = 90.00°, β = 90.00°, γ = 90.00°
Space group Cmcm (No. 63)
Unique sites:
Sr 0.0000 0.1345 0.2500 x4
Ta 0.0000 0.4004 0.2500 x4
N 0.0000 0.5000 0.0000 x4
N 0.1565 0.1952 0.7500 x8

For the total energy, the calculation gives -0.6176 Ry/atom. As for the crystal system: orthorhombic.